A plane-wave DFT calculation with PBE-GGA was carried out for GdLuMnFe after structural relaxation.

Cell: 4.8548 4.8548 4.8548 Å, 60.00 60.00 60.00°
With the nearest neighbours (Å) after each atom.
Sites, in units of the cell vectors:
Gd: 0.0000 0.0000 0.0000  4 Mn 2.97, 4 Fe 2.97
Lu: 0.5000 0.5000 0.5000  4 Mn 2.97, 4 Fe 2.97
Mn: 0.7500 0.7500 0.7500  4 Gd 2.97, 4 Lu 2.97
Fe: 0.2500 0.2500 0.2500  4 Lu 2.97, 4 Gd 2.97

Results
D(E_F) (states/eV per cell): 5.9
Total magnetization (μB per cell): 2.47
Formation energy from the elements (meV/atom): 149
Crystal system: cubic
Space-group type: F-43m, No. 216